(1)
La3Pm2Pb | PBE | optimized geometry

Cell lengths 8.2936, 8.2936, 5.0859 Å; angles 90.00, 90.00, 144.73 degrees
Fractional coordinates of all 6 atoms:
La 0.0000 0.0000 0.0000
La 0.3370 0.6630 0.0000
La 0.6630 0.3370 0.0000
Pm 0.1637 0.8363 0.5000
Pm 0.8363 0.1637 0.5000
Pb 0.5000 0.5000 0.5000

## Properties
Uncorrected energy ... -4.877 eV per atom
Fermi-level density of states ... 6.82 states/eV/cell

***

(2)
AcCu3S3 | PBE | optimized geometry

Cell lengths 7.9180, 7.9180, 7.9180 Å; angles 51.35, 51.35, 51.35 degrees
Fractional coordinates of all 14 atoms:
Ac 0.1665 0.1665 0.1665
Ac 0.8335 0.8335 0.8335
Cu 0.0346 0.7163 0.3749
Cu 0.2837 0.6251 0.9654
Cu 0.3749 0.0346 0.7163
Cu 0.6251 0.9654 0.2837
Cu 0.7163 0.3749 0.0346
Cu 0.9654 0.2837 0.6251
S 0.0790 0.4091 0.7376
S 0.2624 0.9210 0.5909
S 0.4091 0.7376 0.0790
S 0.5909 0.2624 0.9210
S 0.7376 0.0790 0.4091
S 0.9210 0.5909 0.2624

## Properties
Uncorrected energy ... -4.951 eV per atom
Energy relative to the elements, uncorrected ... -0.84 eV per atom

***

(3)
TmMg3 | PBE | optimized geometry

Cell lengths 5.0171, 5.0171, 3.9490 Å; angles 90.00, 90.00, 90.00 degrees
Fractional coordinates of all 4 atoms:
Tm 0.0000 0.0000 0.0000
Mg 0.0000 0.5000 0.5000
Mg 0.5000 0.0000 0.5000
Mg 0.5000 0.5000 0.0000

## Properties
Uncorrected energy ... -2.344 eV per atom
Fermi-level density of states ... 3.15 states/eV/cell

***

(4)
CsPr3CI6 | PBE | optimized geometry

Cell lengths 9.6885, 9.7483, 10.3246 Å; angles 71.11, 84.66, 89.55 degrees
Fractional coordinates of all 22 atoms:
Cs 0.0346 0.1405 0.1720
Cs 0.9654 0.8595 0.8280
Pr 0.2483 0.5835 0.5013
Pr 0.4172 0.2500 0.5034
Pr 0.4733 0.3928 0.8129
Pr 0.5267 0.6072 0.1871
Pr 0.5828 0.7500 0.4966
Pr 0.7517 0.4165 0.4987
C 0.4937 0.4756 0.5720
C 0.5063 0.5244 0.4280
I 0.0927 0.2976 0.4959
I 0.1621 0.5013 0.8288
I 0.2193 0.7277 0.1760
I 0.2938 0.9086 0.5017
I 0.3455 0.0885 0.8280
I 0.4212 0.2988 0.1730
I 0.5788 0.7012 0.8270
I 0.6545 0.9115 0.1720
I 0.7062 0.0914 0.4983
I 0.7807 0.2723 0.8240
I 0.8379 0.4987 0.1712
I 0.9073 0.7024 0.5041

## Properties
Uncorrected energy ... -4.389 eV per atom
Energy relative to the elements, uncorrected ... -1.32 eV per atom

***

(5)
Sr2PaNb3N8 | PBE | optimized geometry

Cell lengths 7.2116, 7.2116, 7.2116 Å; angles 53.64, 53.64, 53.64 degrees
Fractional coordinates of all 14 atoms:
Sr 0.0000 0.0000 0.0000
Sr 0.3513 0.3513 0.3513
Pa 0.5293 0.5293 0.5293
Nb 0.5017 0.9968 0.9968
Nb 0.9968 0.5017 0.9968
Nb 0.9968 0.9968 0.5017
N 0.2019 0.7478 0.7478
N 0.2232 0.2232 0.2232
N 0.2796 0.2796 0.7808
N 0.2796 0.7808 0.2796
N 0.7478 0.2019 0.7478
N 0.7478 0.7478 0.2019
N 0.7782 0.7782 0.7782
N 0.7808 0.2796 0.2796

## Properties
Uncorrected energy ... -8.807 eV per atom
Energy relative to the elements, uncorrected ... -0.97 eV per atom

***

(6)
Pr2Sm8Y | PBE | optimized geometry

Cell lengths 9.0611, 9.0611, 6.7981 Å; angles 99.65, 99.65, 44.18 degrees
Fractional coordinates of all 11 atoms:
Pr 0.1983 0.1983 0.3024
Pr 0.8017 0.8017 0.6976
Sm 0.1752 0.6489 0.0945
Sm 0.2437 0.2437 0.8097
Sm 0.3511 0.8248 0.9055
Sm 0.4110 0.4110 0.5899
Sm 0.5890 0.5890 0.4101
Sm 0.6489 0.1752 0.0945
Sm 0.7563 0.7563 0.1903
Sm 0.8248 0.3511 0.9055
Y 0.0000 0.0000 0.5000

## Properties
Uncorrected energy ... -4.739 eV per atom
Fermi-level density of states ... 17.44 states/eV/cell

***

(7)
PrNdCu | PBE | optimized geometry

Cell lengths 5.0191, 5.0191, 5.0191 Å; angles 60.00, 60.00, 60.00 degrees
Fractional coordinates of all 3 atoms:
Pr 0.0000 0.0000 0.0000
Nd 0.5000 0.5000 0.5000
Cu 0.2500 0.2500 0.2500

## Properties
Uncorrected energy ... -4.420 eV per atom
Fermi-level density of states ... 5.85 states/eV/cell

***

(8)
Ho3Sc2In3 | PBE | optimized geometry

Cell lengths 10.4374, 10.4374, 10.4374 Å; angles 155.98, 153.48, 36.09 degrees
Fractional coordinates of all 8 atoms:
Ho 0.0000 0.0000 0.0000
Ho 0.3772 0.8772 0.5000
Ho 0.6228 0.1228 0.5000
Sc 0.2421 0.2421 0.0000
Sc 0.7579 0.7579 0.0000
In 0.1341 0.6341 0.5000
In 0.5000 0.5000 0.0000
In 0.8659 0.3659 0.5000

## Properties
Uncorrected energy ... -4.669 eV per atom
Fermi-level density of states ... 9.63 states/eV/cell

***

(9)
Li2SmY3Se6 | PBE | optimized geometry

Cell lengths 7.0338, 7.0338, 7.0656 Å; angles 99.59, 99.59, 119.98 degrees
Fractional coordinates of all 12 atoms:
Li 0.1684 0.8316 0.0000
Li 0.8316 0.1684 0.0000
Sm 0.5000 0.5000 0.0000
Y 0.0000 0.0000 0.5000
Y 0.3348 0.6652 0.5000
Y 0.6652 0.3348 0.5000
Se 0.0762 0.4182 0.7541
Se 0.2395 0.2395 0.2454
Se 0.4182 0.0762 0.7541
Se 0.5818 0.9238 0.2459
Se 0.7605 0.7605 0.7546
Se 0.9238 0.5818 0.2459

## Properties
Uncorrected energy ... -5.812 eV per atom
Fermi-level density of states ... 2.81 states/eV/cell
Energy relative to the elements, uncorrected ... -1.74 eV per atom

***

(10)
Mg3Cd2Hg | PBE | optimized geometry

Cell lengths 3.2685, 3.2685, 12.1700 Å; angles 90.00, 90.00, 90.00 degrees
Fractional coordinates of all 6 atoms:
Mg 0.0000 0.0000 0.0000
Mg 0.0000 0.0000 0.3403
Mg 0.0000 0.0000 0.6597
Cd 0.5000 0.5000 0.1692
Cd 0.5000 0.5000 0.8308
Hg 0.5000 0.5000 0.5000

## Properties
Uncorrected energy ... -1.284 eV per atom
Fermi-level density of states ... 2.15 states/eV/cell

***

(11)
Rb2As4Pd5 | PBE | optimized geometry

Cell lengths 8.8858, 7.1123, 7.0114 Å; angles 77.97, 51.52, 50.51 degrees
Fractional coordinates of all 11 atoms:
Rb 0.1427 0.8573 0.1427
Rb 0.8573 0.1427 0.8573
As 0.2183 0.4670 0.5330
As 0.4670 0.2183 0.7817
As 0.5330 0.7817 0.2183
As 0.7817 0.5330 0.4670
Pd 0.0000 0.5000 0.0000
Pd 0.2500 0.2500 0.2500
Pd 0.5000 0.0000 0.5000
Pd 0.5000 0.5000 0.5000
Pd 0.7500 0.7500 0.7500

## Properties
Uncorrected energy ... -4.646 eV per atom
Fermi-level density of states ... 5.80 states/eV/cell

***

(12)
AgTe2Rh | PBE | optimized geometry

Cell lengths 4.8469, 4.8469, 3.5759 Å; angles 90.00, 90.00, 90.00 degrees
Fractional coordinates of all 4 atoms:
Ag 0.0000 0.0000 0.0000
Te 0.0000 0.5000 0.5000
Te 0.5000 0.0000 0.5000
Rh 0.5000 0.5000 0.0000

## Properties
Uncorrected energy ... -3.936 eV per atom
Fermi-level density of states ... 2.48 states/eV/cell
Energy relative to the elements, uncorrected ... 0.19 eV per atom